Entry from Alexandria via LeMat-Bulk: an optimized crystal structure of MgCd2Co (PBE-GGA).

Summary:
volume = 70.6 Å³ per cell
magnetization = 1.04 μB/f.u.
DOS(E_F) = 4.3 states/eV per cell
mass density = 7.25 g cm⁻³
formation enthalpy at 0 K = 0.58 eV/f.u.

Geometry as extended XYZ:
```
4
Lattice="4.160 0.000 0.000 0.000 4.160 0.000 0.000 0.000 4.077" Properties=species:S:1:pos:R:3 pbc="T T T"
Mg 0.000 0.000 0.000
Cd 0.000 2.080 2.039
Cd 2.080 0.000 2.039
Co 2.080 2.080 0.000
```